Record 1
Below is a relaxed structure of Tl2SnPdS, with properties calculated at the PBE level.

a b c (Å): 5.8139 4.9729 5.8139
angles (deg): 90.00 90.00 90.00
Atoms (fractional coordinates):
Sn: 0.0000 0.0000 0.0000
S: 0.0000 0.5000 0.0000
Pd: 0.5000 0.5000 0.5000
Tl: 0.5000 0.0000 0.0000
Tl: 0.0000 0.0000 0.5000

Theoretical density   6.58 g/cm3
Raw formation energy   604 meV/atom
Symmetry   P4/mmm (123)

---

Record 2
Below is a relaxed structure of SrPdS, with properties calculated at the PBE level.

a b c (Å): 4.1888 8.0664 4.1887
angles (deg): 105.03 90.00 105.03
Atoms (fractional coordinates):
Sr: 0.9736 0.6282 0.5308
Sr: 0.7236 0.1282 0.7808
Pd: 0.1414 0.9619 0.1976
Pd: 0.3904 0.4619 0.9489
S: 0.5557 0.7912 0.1106
S: 0.3038 0.2912 0.3631

Theoretical density   5.70 g/cm3
Raw formation energy   -1213 meV/atom
Symmetry   Cc (9)

---

Record 3
Below is a relaxed structure of SrPd3S, with properties calculated at the PBE level.

a b c (Å): 4.6673 4.6673 4.6673
angles (deg): 90.00 90.00 90.00
Atoms (fractional coordinates):
S: 0.0000 0.0000 0.0000
Pd: 0.0000 0.5000 0.0000
Pd: 0.0000 0.0000 0.5000
Pd: 0.5000 0.0000 0.0000
Sr: 0.5000 0.5000 0.5000

Theoretical density   7.17 g/cm3
Raw formation energy   -622 meV/atom
Symmetry   Pm-3m (221)
ΔE to the lowest computed polymorph   0.000 eV/atom

---

Number 1: magnetic moment 0.0000 μB/atom. Number 2: magnetic moment 0.0000 μB/atom. Number 3: magnetic moment 0.0000 μB/atom.